1.
First-principles (SCAN) data for a crystal of BaTl2Hg relaxed with PBEsol, as listed in the Alexandria database.

Magnetization   0.000 μB/atom
Offset from the most stable computed form   62.2 meV per atom
Formation energy   -0.374 eV/atom

Unit cell a=3.9491 b=3.9491 c=7.7309 alpha=90.00 beta=90.00 gamma=90.00
Fractional positions:
Tl  0.5000  0.5000  0.2154
Tl  0.0000  0.0000  0.9919
Hg  0.5000  0.5000  0.7808
Ba  0.0000  0.0000  0.5120


2.
First-principles (SCAN) data for a crystal of CrCdOs2 relaxed with PBEsol, as listed in the Alexandria database.

Magnetization   0.000 μB/atom
Formation energy   0.270 eV/atom

Unit cell a=2.7301 b=2.7301 c=9.1084 alpha=81.38 beta=81.38 gamma=60.00
Fractional positions:
Cd  0.5000  0.5000  0.5000
Os  0.2599  0.2599  0.2204
Os  0.7401  0.7401  0.7796
Cr  0.0000  0.0000  0.0000


3.
First-principles (SCAN) data for a crystal of LaAs3Rh relaxed with PBEsol, as listed in the Alexandria database.

Magnetization   0.000 μB/atom
Formation energy   -0.423 eV/atom

Unit cell a=4.7959 b=4.7959 c=4.7959 alpha=90.00 beta=90.00 gamma=90.00
Fractional positions:
As  0.0000  0.0000  0.5000
As  0.5000  0.0000  0.0000
As  0.0000  0.5000  0.0000
Rh  0.0000  0.0000  0.0000
La  0.5000  0.5000  0.5000


4.
First-principles (SCAN) data for a crystal of MgIn2Cu relaxed with PBEsol, as listed in the Alexandria database.

Magnetization   0.000 μB/atom
Formation energy   0.028 eV/atom

Unit cell a=4.2572 b=4.2572 c=5.2295 alpha=114.02 beta=114.02 gamma=90.00
Fractional positions:
Cu  0.2500  0.7500  0.5000
In  0.0000  0.0000  0.0000
In  0.7500  0.2500  0.5000
Mg  0.5000  0.5000  0.0000


5.
First-principles (SCAN) data for a crystal of VGa2FeCo4 relaxed with PBEsol, as listed in the Alexandria database.

Magnetization   0.874 μB/atom
Formation energy   -0.327 eV/atom

Unit cell a=4.0023 b=4.0023 c=6.9129 alpha=73.17 beta=73.17 gamma=60.00
Each line ends with the local moment (μB).
Fractional positions:
Fe  0.0000  0.0000  0.0000  3.01
Co  0.3752  0.3752  0.8743  1.26
Co  0.1255  0.1255  0.6235  0.99
Co  0.8745  0.8745  0.3765  0.99
Co  0.6248  0.6248  0.1257  1.26
Ga  0.7498  0.7498  0.7506  -0.06
Ga  0.2502  0.2502  0.2494  -0.06
V  0.5000  0.5000  0.5000  -0.21


6.
First-principles (SCAN) data for a crystal of LiTcRu2 relaxed with PBEsol, as listed in the Alexandria database.

Magnetization   0.000 μB/atom
Offset from the most stable computed form   43.9 meV per atom
Formation energy   0.227 eV/atom

Unit cell a=2.8207 b=4.3449 c=4.9153 alpha=116.23 beta=106.67 gamma=90.00
Fractional positions:
Li  0.0000  0.5000  0.0000
Ru  0.7440  0.7440  0.4880
Ru  0.2560  0.2560  0.5120
Tc  0.5000  0.0000  0.0000


7.
First-principles (SCAN) data for a crystal of Pm3Al relaxed with PBEsol, as listed in the Alexandria database.

Magnetization   0.095 μB/atom
Offset from the most stable computed form   0.0 meV per atom
Formation energy   -0.234 eV/atom

Unit cell a=5.3029 b=6.9156 c=6.9156 alpha=120.00 beta=90.00 gamma=90.00
Each line ends with the local moment (μB).
Fractional positions:
Pm  0.7500  0.8226  0.6451  0.10
Pm  0.2500  0.1774  0.3549  0.10
Pm  0.2500  0.6451  0.8226  0.10
Pm  0.7500  0.8226  0.1774  0.10
Pm  0.7500  0.3549  0.1774  0.10
Pm  0.2500  0.1774  0.8226  0.10
Al  0.7500  0.3333  0.6667  -0.01
Al  0.2500  0.6667  0.3333  -0.01


8.
First-principles (SCAN) data for a crystal of Fe2NiRh relaxed with PBEsol, as listed in the Alexandria database.

Magnetization   1.786 μB/atom
Formation energy   -0.136 eV/atom

Unit cell a=3.6115 b=3.6115 c=4.3910 alpha=114.28 beta=114.28 gamma=90.00
Each line ends with the local moment (μB).
Fractional positions:
Rh  0.0000  0.0000  0.0000  0.59
Fe  0.2500  0.7500  0.5000  3.02
Fe  0.7500  0.2500  0.5000  3.02
Ni  0.5000  0.5000  0.0000  0.79


Repeat the fourth record exactly.
First-principles (SCAN) data for a crystal of MgIn2Cu relaxed with PBEsol, as listed in the Alexandria database.

Magnetization   0.000 μB/atom
Formation energy   0.028 eV/atom

Unit cell a=4.2572 b=4.2572 c=5.2295 alpha=114.02 beta=114.02 gamma=90.00
Fractional positions:
Cu  0.2500  0.7500  0.5000
In  0.0000  0.0000  0.0000
In  0.7500  0.2500  0.5000
Mg  0.5000  0.5000  0.0000